i.
10
Lattice="11.063 0.000 0.000 0.000 11.063 0.000 0.000 0.000 3.844" Properties=species:S:1:pos:R:3 comment="Cs2Al2Hg, optimized geometry, DFT PBE-GGA" volume_a3_per_cell=471 dos_ef_per_ev_cell=2.79 sg="No. 127" pbc="T T T"
Al 10.175 6.420 0.000
Al 6.420 0.888 0.000
Al 4.643 10.175 0.000
Al 0.888 4.643 0.000
Cs 3.279 2.253 1.922
Cs 2.253 7.785 1.922
Cs 8.810 3.279 1.922
Cs 7.785 8.810 1.922
Hg 0.000 0.000 0.000
Hg 5.532 5.532 0.000

=====

ii.
5
Lattice="-1.020 3.708 -0.953 -3.107 -0.226 2.447 4.931 6.051 10.025" Properties=species:S:1:pos:R:3 comment="Cs2Al2Hg, optimized geometry, DFT PBE-GGA" volume_a3_per_cell=195 dos_ef_per_ev_cell=4.82 sg="No. 139" pbc="T T T"
Cs -0.511 2.698 2.807
Cs 1.315 6.835 8.712
Hg 0.000 0.000 0.000
Al 0.924 5.750 4.909
Al -0.120 3.783 6.610

=====

iii.
5
Lattice="-3.772 -3.758 -5.586 5.846 1.346 -4.854 2.691 -4.477 -4.136" Properties=species:S:1:pos:R:3 comment="Cs2Al2Hg, optimized geometry, DFT PBE-GGA" volume_a3_per_cell=228 dos_ef_per_ev_cell=3.52 sg="No. 139" pbc="T T T"
Al 3.206 -4.652 -9.698
Al 1.559 -2.238 -4.878
Hg 0.000 0.000 0.000
Cs 4.787 -2.169 -7.105
Cs -0.022 -4.721 -7.471

=====

Least stable structure: i

=====

i.
5
Lattice="-3.972 -2.367 0.873 -0.728 -0.483 -4.624 1.248 -7.440 -1.814" Properties=species:S:1:pos:R:3 comment="CsAl2Hg2, optimized geometry, DFT PBE-GGA" volume_a3_per_cell=155 dos_ef_per_ev_cell=1.99 sg="No. 139" pbc="T T T"
Hg -1.274 -3.224 -1.857
Hg -2.178 -7.067 -3.708
Cs 0.000 0.000 0.000
Al -0.915 -4.674 -4.157
Al -2.537 -5.616 -1.408

=====

ii.
5
Lattice="5.240 0.000 0.000 0.000 5.240 0.000 2.620 2.620 5.281" Properties=species:S:1:pos:R:3 comment="CsAl2Hg2, optimized geometry, DFT PBE-GGA" volume_a3_per_cell=145 dos_ef_per_ev_cell=2.76 sg="No. 139" pbc="T T T"
Cs 0.000 0.000 0.000
Hg 2.620 5.240 2.640
Hg 5.240 2.620 2.640
Al 5.240 5.240 3.915
Al 2.620 2.620 1.366

=====

iii.
10
Lattice="-1.402 -4.686 -7.815 4.145 -7.370 3.675 -2.895 -1.054 1.152" Properties=species:S:1:pos:R:3 comment="CsAl2Hg2, optimized geometry, DFT PBE-GGA" volume_a3_per_cell=280 dos_ef_per_ev_cell=4.63 sg="No. 127" pbc="T T T"
Cs 1.371 -6.028 -2.070
Cs 0.000 0.000 0.000
Al -1.416 -3.225 -1.813
Al 0.987 -5.805 1.866
Al 1.263 -9.886 -1.175
Al -1.140 -7.305 -4.855
Hg 1.268 -3.296 0.171
Hg -0.303 -4.091 -4.508
Hg 1.475 -8.760 -4.311
Hg 3.046 -7.965 0.368

=====

Least stable structure: iii

=====

i.
5
Lattice="6.009 0.000 0.000 0.000 6.009 0.000 0.000 0.000 5.433" Properties=species:S:1:pos:R:3 comment="CsNa2AlHg, optimized geometry, DFT PBE-GGA" volume_a3_per_cell=196 dos_ef_per_ev_cell=1.43 sg="No. 123" pbc="T T T"
Na 0.000 3.004 0.000
Na 3.004 0.000 0.000
Al 0.000 0.000 0.000
Cs 3.004 3.004 2.717
Hg 0.000 0.000 2.717

=====

ii.
5
Lattice="5.986 0.000 0.000 0.000 5.986 0.000 0.000 0.000 5.324" Properties=species:S:1:pos:R:3 comment="CsNa2AlHg, optimized geometry, DFT PBE-GGA" volume_a3_per_cell=191 dos_ef_per_ev_cell=1.10 sg="No. 123" pbc="T T T"
Cs 2.993 2.993 2.662
Na 0.000 2.993 0.000
Na 2.993 0.000 0.000
Hg 0.000 0.000 0.000
Al 0.000 0.000 2.662

=====

Least stable structure: ii

=====

i.
8
Lattice="7.728 0.000 0.000 0.000 7.728 0.000 3.864 3.864 8.639" Properties=species:S:1:pos:R:3 comment="CsAlI2, optimized geometry, DFT PBE-GGA" volume_a3_per_cell=516 dos_ef_per_ev_cell=0.00 sg="No. 122" pbc="T T T"
Al 3.864 3.864 0.000
Al 3.864 7.728 4.320
Cs 0.000 0.000 0.000
Cs 7.728 3.864 4.320
I 9.661 9.124 6.479
I 5.796 6.333 6.479
I 2.469 5.796 2.160
I 5.260 1.932 2.160

=====

ii.
4
Lattice="-1.532 -4.701 -3.723 -5.587 -0.148 -2.658 -0.553 0.932 -6.094" Properties=species:S:1:pos:R:3 comment="CsAlI2, optimized geometry, DFT PBE-GGA" volume_a3_per_cell=168 dos_ef_per_ev_cell=0.00 sg="No. 225" pbc="T T T"
Al 0.000 0.000 0.000
Cs -3.836 -1.959 -6.238
I -5.755 -2.938 -9.356
I -1.918 -0.979 -3.119

=====

Least stable structure: ii

=====

i.
11
Lattice="7.988 1.182 0.897 1.527 10.056 1.139 1.527 3.805 9.378" Properties=species:S:1:pos:R:3 comment="CsAl2I8, optimized geometry, DFT PBE-GGA" volume_a3_per_cell=695 dos_ef_per_ev_cell=7.45 sg="No. 12" pbc="T T T"
I 5.440 3.623 2.749
I 4.167 6.804 9.028
I 6.875 8.239 2.386
I 6.875 4.517 7.292
I 9.745 10.693 8.113
I 5.602 11.419 8.665
I 1.296 4.350 3.301
I 4.167 10.526 4.122
Al 7.966 12.153 9.221
Al 3.075 2.890 2.193
Cs 0.000 0.000 0.000

=====

ii.
11
Lattice="8.500 0.000 0.000 -4.250 6.931 -2.743 0.000 0.416 9.943" Properties=species:S:1:pos:R:3 comment="CsAl2I8, optimized geometry, DFT PBE-GGA" volume_a3_per_cell=595 dos_ef_per_ev_cell=14.56 sg="No. 12" pbc="T T T"
I 4.250 5.124 3.658
I 6.413 2.555 7.118
I 0.000 2.222 3.543
I 0.000 5.881 5.656
I 2.163 4.791 0.082
I -2.163 4.791 0.082
I 4.250 1.465 1.544
I 2.087 2.555 7.118
Al 0.000 3.342 5.827
Al 4.250 4.004 1.373
Cs 0.000 0.000 0.000

=====

Least stable structure: ii

=====

i.
10
Lattice="-0.323 -0.381 9.032 7.513 -1.746 4.725 3.853 6.523 4.943" Properties=species:S:1:pos:R:3 comment="Cs3AlI6, optimized geometry, DFT PBE-GGA" volume_a3_per_cell=523 dos_ef_per_ev_cell=0.00 sg="No. 225" pbc="T T T"
I 8.826 3.656 9.530
I 6.647 -0.032 6.736
I 2.218 0.740 9.170
I 4.578 4.643 6.859
I 4.396 4.427 11.964
I 6.465 -0.247 11.841
Cs 8.282 3.297 14.025
Cs 5.522 2.198 9.350
Cs 2.761 1.099 4.675
Al 0.000 0.000 0.000

=====

ii.
20
Lattice="10.393 0.110 0.113 -0.115 10.393 0.113 -0.115 -0.118 10.392" Properties=species:S:1:pos:R:3 comment="Cs3AlI6, optimized geometry, DFT PBE-GGA" volume_a3_per_cell=1123 dos_ef_per_ev_cell=0.00 sg="No. 148" pbc="T T T"
I 4.543 5.755 8.007
I 5.655 7.902 4.844
I 2.384 5.671 4.686
I 9.415 7.898 0.845
I 0.465 9.427 7.915
I 2.470 9.753 1.017
I 7.692 0.632 9.600
I 0.747 2.487 9.773
I 7.777 4.713 5.931
I 9.697 0.958 2.703
I 4.506 2.483 5.774
I 5.618 4.629 2.610
Cs 7.726 4.517 9.802
Cs 0.632 2.450 5.885
Cs 5.814 0.759 2.580
Cs 9.529 7.934 4.733
Cs 4.348 9.626 8.037
Cs 2.436 5.868 0.816
Al 0.000 0.000 0.000
Al 5.081 5.192 5.309

=====

Least stable structure: i